*a*
Computed, not measured: crystalline ZnBiSb2Te at its relaxed geometry at the GGA-PBE level of DFT.

Spin magnetization ... 0.958 μB/cell
Density of states at the Fermi level ... 5.62 states/eV per cell

a = 5.881 Å, b = 5.881 Å, c = 6.021 Å
α = 90.00°, β = 90.00°, γ = 90.00°
Positions (direct):
1 Zn 0.000 0.000 0.000
2 Bi 0.500 0.500 0.500
3 Sb 0.000 0.500 0.500
4 Sb 0.500 0.000 0.500
5 Te 0.500 0.500 0.000

---

*b*
Computed, not measured: crystalline ZnBiSb2Te at its relaxed geometry at the GGA-PBE level of DFT.

Spin magnetization ... 0.000 μB/cell
Density of states at the Fermi level ... 5.00 states/eV per cell

a = 5.220 Å, b = 5.220 Å, c = 5.400 Å
α = 90.00°, β = 90.00°, γ = 90.00°
Positions (direct):
1 Zn 0.000 0.000 0.000
2 Bi 0.500 0.500 0.500
3 Sb 0.000 0.500 0.000
4 Sb 0.500 0.000 0.000
5 Te 0.000 0.000 0.500

---

*b* has the most favorable energy; the next structure is 0.466 eV/atom above.

---

*a*
Computed, not measured: crystalline Th3BiSb2 at its relaxed geometry at the GGA-PBE level of DFT.

Spin magnetization ... 0.000 μB/cell
Density of states at the Fermi level ... 9.04 states/eV per cell

a = 7.860 Å, b = 7.860 Å, c = 7.867 Å
α = 99.59°, β = 99.59°, γ = 120.20°
Positions (direct):
1 Th 0.000 0.500 0.000
2 Th 0.152 0.325 0.497
3 Th 0.325 0.152 0.997
4 Th 0.500 0.000 0.500
5 Th 0.675 0.848 0.003
6 Th 0.848 0.675 0.503
7 Bi 0.420 0.580 0.250
8 Bi 0.580 0.420 0.750
9 Sb 0.084 0.916 0.250
10 Sb 0.254 0.746 0.750
11 Sb 0.746 0.254 0.250
12 Sb 0.916 0.084 0.750

---

*b*
Computed, not measured: crystalline Th3BiSb2 at its relaxed geometry at the GGA-PBE level of DFT.

Spin magnetization ... 0.000 μB/cell
Density of states at the Fermi level ... 12.44 states/eV per cell

a = 7.081 Å, b = 7.081 Å, c = 10.421 Å
α = 90.00°, β = 90.00°, γ = 133.88°
Positions (direct):
1 Th 0.134 0.866 0.539
2 Th 0.134 0.866 0.961
3 Th 0.361 0.639 0.750
4 Th 0.639 0.361 0.250
5 Th 0.866 0.134 0.039
6 Th 0.866 0.134 0.461
7 Bi 0.302 0.698 0.250
8 Bi 0.698 0.302 0.750
9 Sb 0.038 0.962 0.250
10 Sb 0.500 0.500 0.000
11 Sb 0.500 0.500 0.500
12 Sb 0.962 0.038 0.750

---

*a* has the most favorable energy; the next structure is 0.300 eV/atom above.

---

*a*
Computed, not measured: crystalline Ti2BiSb2 at its relaxed geometry at the GGA-PBE level of DFT.

Spin magnetization ... 0.000 μB/cell
Density of states at the Fermi level ... 5.22 states/eV per cell

a = 7.803 Å, b = 7.803 Å, c = 3.656 Å
α = 90.00°, β = 90.00°, γ = 90.00°
Positions (direct):
1 Ti 0.146 0.354 0.000
2 Ti 0.354 0.854 0.000
3 Ti 0.646 0.146 0.000
4 Ti 0.854 0.646 0.000
5 Bi 0.000 0.000 0.000
6 Bi 0.500 0.500 0.000
7 Sb 0.145 0.645 0.500
8 Sb 0.355 0.145 0.500
9 Sb 0.645 0.855 0.500
10 Sb 0.855 0.355 0.500

---

*b*
Computed, not measured: crystalline Ti2BiSb2 at its relaxed geometry at the GGA-PBE level of DFT.

Spin magnetization ... 0.001 μB/cell
Density of states at the Fermi level ... 6.85 states/eV per cell

a = 6.060 Å, b = 6.060 Å, c = 6.060 Å
α = 130.49°, β = 130.49°, γ = 72.62°
Positions (direct):
1 Ti 0.250 0.750 0.500
2 Ti 0.750 0.250 0.500
3 Bi 0.000 0.000 0.000
4 Sb 0.355 0.355 0.000
5 Sb 0.645 0.645 0.000

---

*a* has the most favorable energy; the next structure is 0.189 eV/atom above.